First-principles (SCAN) data for a PBEsol-optimized structure of Na2TcBr, as listed in the Alexandria database.

- total DFT energy (no corrections) (eV/atom) = -15.1241
- V (A^3/atom) = 25.4
- formation energy from raw total energies (eV per atom) = 0.6133
- E above lowest polymorph (eV/atom) = 0.058

Geometry as CIF:
```
data_Na2TcBr
_symmetry_space_group_name_H-M 'F m -3 m'
_symmetry_Int_Tables_number 225
_symmetry_space_group_name_Hall '-F 4 2 3'
_cell_length_a 7.4024
_cell_length_b 7.4024
_cell_length_c 7.4024
_cell_angle_alpha 90.00
_cell_angle_beta 90.00
_cell_angle_gamma 90.00
loop_
_atom_site_label
_atom_site_type_symbol
_atom_site_fract_x
_atom_site_fract_y
_atom_site_fract_z
Na1 Na 0.2500 0.2500 0.2500
Tc1 Tc 0.0000 0.0000 0.0000
Br1 Br 0.0000 0.0000 0.5000
```

***

First-principles (SCAN) data for a PBEsol-optimized structure of CaInAu2, as listed in the Alexandria database.

- total DFT energy (no corrections) (eV/atom) = -46.0302
- V (A^3/atom) = 22.0

Geometry as CIF:
```
data_CaInAu2
_symmetry_space_group_name_H-M 'A m m 2'
_symmetry_Int_Tables_number 38
_cell_length_a 4.4269
_cell_length_b 3.8007
_cell_length_c 10.4424
_cell_angle_alpha 90.00
_cell_angle_beta 90.00
_cell_angle_gamma 90.00
loop_
_symmetry_equiv_pos_as_xyz
'x,y,z'
'-x,-y,z'
'-x,y,z'
'x,-y,z'
'x,y+1/2,z+1/2'
'-x,-y+1/2,z+1/2'
'-x,y+1/2,z+1/2'
'x,-y+1/2,z+1/2'
loop_
_atom_site_label
_atom_site_type_symbol
_atom_site_fract_x
_atom_site_fract_y
_atom_site_fract_z
Ca1 Ca 0.0000 0.0000 0.0000
In1 In 0.5000 0.0000 0.2906
Au1 Au 0.0000 0.0000 0.7270
Au2 Au 0.5000 0.0000 0.5621
```

***

First-principles (SCAN) data for a PBEsol-optimized structure of LaCuO2, as listed in the Alexandria database.

- total DFT energy (no corrections) (eV/atom) = -18.7330
- V (A^3/atom) = 14.8
- formation energy from raw total energies (eV per atom) = -1.0413

Geometry as CIF:
```
data_LaCuO2
_symmetry_space_group_name_H-M 'R -3 m'
_symmetry_Int_Tables_number 166
_symmetry_space_group_name_Hall '-R 3 2"'
_cell_length_a 3.3349
_cell_length_b 3.3349
_cell_length_c 18.5016
_cell_angle_alpha 90.00
_cell_angle_beta 90.00
_cell_angle_gamma 120.00
loop_
_atom_site_label
_atom_site_type_symbol
_atom_site_fract_x
_atom_site_fract_y
_atom_site_fract_z
La1 La 0.0000 0.0000 0.0000
Cu1 Cu 0.0000 0.0000 0.5000
O1 O 0.0000 0.0000 0.1170
```

***

First-principles (SCAN) data for a PBEsol-optimized structure of Er4Ge6Os7, as listed in the Alexandria database.

- total DFT energy (no corrections) (eV/atom) = -48.7553
- V (A^3/atom) = 16.5

Geometry as CIF:
```
data_Er4Ge6Os7
_symmetry_space_group_name_H-M 'I m -3 m'
_symmetry_Int_Tables_number 229
_symmetry_space_group_name_Hall '-I 4 2 3'
_cell_length_a 8.2412
_cell_length_b 8.2412
_cell_length_c 8.2412
_cell_angle_alpha 90.00
_cell_angle_beta 90.00
_cell_angle_gamma 90.00
loop_
_atom_site_label
_atom_site_type_symbol
_atom_site_fract_x
_atom_site_fract_y
_atom_site_fract_z
Er1 Er 0.2500 0.2500 0.2500
Ge1 Ge 0.0000 0.0000 0.3094
Os1 Os 0.0000 0.0000 0.0000
Os2 Os 0.0000 0.2500 0.5000
```

***

First-principles (SCAN) data for a PBEsol-optimized structure of SiTeAs2Br, as listed in the Alexandria database.

- total DFT energy (no corrections) (eV/atom) = -20.2503
- V (A^3/atom) = 29.6
- formation energy from raw total energies (eV per atom) = 1.1712

Geometry as CIF:
```
data_SiTeAs2Br
_symmetry_space_group_name_H-M 'P 4/m m m'
_symmetry_Int_Tables_number 123
_symmetry_space_group_name_Hall '-P 4 2'
_cell_length_a 5.2823
_cell_length_b 5.2823
_cell_length_c 5.3088
_cell_angle_alpha 90.00
_cell_angle_beta 90.00
_cell_angle_gamma 90.00
loop_
_atom_site_label
_atom_site_type_symbol
_atom_site_fract_x
_atom_site_fract_y
_atom_site_fract_z
Si1 Si 0.0000 0.0000 0.0000
Te1 Te 0.5000 0.5000 0.5000
As1 As 0.0000 0.5000 0.5000
Br1 Br 0.5000 0.5000 0.0000
```

***

First-principles (SCAN) data for a PBEsol-optimized structure of ZrTaMo3, as listed in the Alexandria database.

- total DFT energy (no corrections) (eV/atom) = -38.9619
- V (A^3/atom) = 20.8
- E above lowest polymorph (eV/atom) = 0.000

Geometry as CIF:
```
data_ZrTaMo3
_symmetry_space_group_name_H-M 'P m -3 m'
_symmetry_Int_Tables_number 221
_symmetry_space_group_name_Hall '-P 4 2 3'
_cell_length_a 4.7006
_cell_length_b 4.7006
_cell_length_c 4.7006
_cell_angle_alpha 90.00
_cell_angle_beta 90.00
_cell_angle_gamma 90.00
loop_
_atom_site_label
_atom_site_type_symbol
_atom_site_fract_x
_atom_site_fract_y
_atom_site_fract_z
Zr1 Zr 0.0000 0.0000 0.0000
Ta1 Ta 0.5000 0.5000 0.5000
Mo1 Mo 0.0000 0.5000 0.5000
```

***

First-principles (SCAN) data for a PBEsol-optimized structure of CaFeF6, as listed in the Alexandria database.

- total DFT energy (no corrections) (eV/atom) = -9.0531
- V (A^3/atom) = 13.4
- formation energy from raw total energies (eV per atom) = -2.9240

Geometry as CIF:
```
data_CaFeF6
_symmetry_space_group_name_H-M 'R -3'
_symmetry_Int_Tables_number 148
_symmetry_space_group_name_Hall '-R 3'
_cell_length_a 5.1436
_cell_length_b 5.1436
_cell_length_c 14.0235
_cell_angle_alpha 90.00
_cell_angle_beta 90.00
_cell_angle_gamma 120.00
loop_
_atom_site_label
_atom_site_type_symbol
_atom_site_fract_x
_atom_site_fract_y
_atom_site_fract_z
Ca1 Ca 0.0000 0.0000 0.0000
Fe1 Fe 0.0000 0.0000 0.5000
F1 F 0.0010 0.7163 0.5742
```

***

First-principles (SCAN) data for a PBEsol-optimized structure of KNa2Cd2, as listed in the Alexandria database.

- total DFT energy (no corrections) (eV/atom) = -15.5654
- V (A^3/atom) = 33.3
- E above lowest polymorph (eV/atom) = 0.006

Geometry as CIF:
```
data_KNa2Cd2
_symmetry_space_group_name_H-M 'I 4/m m m'
_symmetry_Int_Tables_number 139
_symmetry_space_group_name_Hall '-I 4 2'
_cell_length_a 4.8627
_cell_length_b 4.8627
_cell_length_c 14.0879
_cell_angle_alpha 90.00
_cell_angle_beta 90.00
_cell_angle_gamma 90.00
loop_
_atom_site_label
_atom_site_type_symbol
_atom_site_fract_x
_atom_site_fract_y
_atom_site_fract_z
K1 K 0.0000 0.0000 0.0000
Na1 Na 0.0000 0.5000 0.2500
Cd1 Cd 0.0000 0.0000 0.4003
```

***

First-principles (SCAN) data for a PBEsol-optimized structure of TmAlCo, as listed in the Alexandria database.

- total DFT energy (no corrections) (eV/atom) = -26.0162
- V (A^3/atom) = 16.3

Geometry as CIF:
```
data_TmAlCo
_symmetry_space_group_name_H-M 'A m m 2'
_symmetry_Int_Tables_number 38
_cell_length_a 8.2258
_cell_length_b 5.2737
_cell_length_c 9.0124
_cell_angle_alpha 90.00
_cell_angle_beta 90.00
_cell_angle_gamma 90.00
loop_
_symmetry_equiv_pos_as_xyz
'x,y,z'
'-x,-y,z'
'-x,y,z'
'x,-y,z'
'x,y+1/2,z+1/2'
'-x,-y+1/2,z+1/2'
'-x,y+1/2,z+1/2'
'x,-y+1/2,z+1/2'
loop_
_atom_site_label
_atom_site_type_symbol
_atom_site_fract_x
_atom_site_fract_y
_atom_site_fract_z
Tm1 Tm 0.1735 0.0000 0.0000
Tm2 Tm 0.2969 0.0000 0.3366
Al1 Al 0.2252 0.0000 0.6748
Al2 Al 0.5000 0.2475 0.0839
Co1 Co 0.0000 0.0000 0.4966
Co2 Co 0.0000 0.2306 0.2644
Co3 Co 0.5000 0.0000 0.8367
```

***

First-principles (SCAN) data for a PBEsol-optimized structure of Cs3FeF6, as listed in the Alexandria database.

- total DFT energy (no corrections) (eV/atom) = -18.0057
- V (A^3/atom) = 19.6
- formation energy from raw total energies (eV per atom) = -2.7256

Geometry as CIF:
```
data_Cs3FeF6
_symmetry_space_group_name_H-M 'F m -3 m'
_symmetry_Int_Tables_number 225
_symmetry_space_group_name_Hall '-F 4 2 3'
_cell_length_a 9.2178
_cell_length_b 9.2178
_cell_length_c 9.2178
_cell_angle_alpha 90.00
_cell_angle_beta 90.00
_cell_angle_gamma 90.00
loop_
_atom_site_label
_atom_site_type_symbol
_atom_site_fract_x
_atom_site_fract_y
_atom_site_fract_z
Cs1 Cs 0.0000 0.0000 0.0000
Cs2 Cs 0.2500 0.2500 0.2500
Fe1 Fe 0.0000 0.0000 0.5000
F1 F 0.0000 0.0000 0.2979
```

***

First-principles (SCAN) data for a PBEsol-optimized structure of ZrSc2Tc, as listed in the Alexandria database.

- total DFT energy (no corrections) (eV/atom) = -23.5782
- V (A^3/atom) = 19.1
- E above lowest polymorph (eV/atom) = 0.193

Geometry as CIF:
```
data_ZrSc2Tc
_symmetry_space_group_name_H-M 'P 4/m m m'
_symmetry_Int_Tables_number 123
_symmetry_space_group_name_Hall '-P 4 2'
_cell_length_a 3.9825
_cell_length_b 3.9825
_cell_length_c 4.8166
_cell_angle_alpha 90.00
_cell_angle_beta 90.00
_cell_angle_gamma 90.00
loop_
_atom_site_label
_atom_site_type_symbol
_atom_site_fract_x
_atom_site_fract_y
_atom_site_fract_z
Zr1 Zr 0.0000 0.0000 0.0000
Sc1 Sc 0.0000 0.5000 0.5000
Tc1 Tc 0.5000 0.5000 0.0000
```

***

First-principles (SCAN) data for a PBEsol-optimized structure of Ti2SiHgO, as listed in the Alexandria database.

- total DFT energy (no corrections) (eV/atom) = -24.0453
- V (A^3/atom) = 14.4
- formation energy from raw total energies (eV per atom) = -0.7508

Geometry as CIF:
```
data_Ti2SiHgO
_symmetry_space_group_name_H-M 'P 4/m m m'
_symmetry_Int_Tables_number 123
_symmetry_space_group_name_Hall '-P 4 2'
_cell_length_a 4.0565
_cell_length_b 4.0565
_cell_length_c 4.3792
_cell_angle_alpha 90.00
_cell_angle_beta 90.00
_cell_angle_gamma 90.00
loop_
_atom_site_label
_atom_site_type_symbol
_atom_site_fract_x
_atom_site_fract_y
_atom_site_fract_z
Ti1 Ti 0.0000 0.5000 0.0000
Si1 Si 0.0000 0.0000 0.5000
Hg1 Hg 0.5000 0.5000 0.5000
O1 O 0.0000 0.0000 0.0000
```

***

First-principles (SCAN) data for a PBEsol-optimized structure of Mn5Ru, as listed in the Alexandria database.

- total DFT energy (no corrections) (eV/atom) = -20.8112
- V (A^3/atom) = 10.8
- E above lowest polymorph (eV/atom) = 0.135

Geometry as CIF:
```
data_Mn5Ru
_symmetry_space_group_name_H-M 'A m m 2'
_symmetry_Int_Tables_number 38
_cell_length_a 3.9908
_cell_length_b 2.5170
_cell_length_c 12.9370
_cell_angle_alpha 90.00
_cell_angle_beta 90.00
_cell_angle_gamma 90.00
loop_
_symmetry_equiv_pos_as_xyz
'x,y,z'
'-x,-y,z'
'-x,y,z'
'x,-y,z'
'x,y+1/2,z+1/2'
'-x,-y+1/2,z+1/2'
'-x,y+1/2,z+1/2'
'x,-y+1/2,z+1/2'
loop_
_atom_site_label
_atom_site_type_symbol
_atom_site_fract_x
_atom_site_fract_y
_atom_site_fract_z
Mn1 Mn 0.0000 0.0000 0.0000
Mn2 Mn 0.0000 0.0000 0.3240
Mn3 Mn 0.0000 0.0000 0.6620
Mn4 Mn 0.5000 0.0000 0.1123
Mn5 Mn 0.5000 0.0000 0.7704
Ru1 Ru 0.5000 0.0000 0.4410
```

***

First-principles (SCAN) data for a PBEsol-optimized structure of Zn2TeW, as listed in the Alexandria database.

- total DFT energy (no corrections) (eV/atom) = -32.8280
- V (A^3/atom) = 16.7
- formation energy from raw total energies (eV per atom) = 0.6644

Geometry as CIF:
```
data_Zn2TeW
_symmetry_space_group_name_H-M 'I m m m'
_symmetry_Int_Tables_number 71
_symmetry_space_group_name_Hall '-I 2 2'
_cell_length_a 3.4567
_cell_length_b 4.2629
_cell_length_c 9.0655
_cell_angle_alpha 90.00
_cell_angle_beta 90.00
_cell_angle_gamma 90.00
loop_
_atom_site_label
_atom_site_type_symbol
_atom_site_fract_x
_atom_site_fract_y
_atom_site_fract_z
Zn1 Zn 0.0000 0.0000 0.2446
Te1 Te 0.0000 0.5000 0.0000
W1 W 0.0000 0.5000 0.5000
```

***

First-principles (SCAN) data for a PBEsol-optimized structure of RbBi2P2, as listed in the Alexandria database.

- total DFT energy (no corrections) (eV/atom) = -39.7889
- V (A^3/atom) = 30.0

Geometry as CIF:
```
data_RbBi2P2
_symmetry_space_group_name_H-M 'I 4/m m m'
_symmetry_Int_Tables_number 139
_symmetry_space_group_name_Hall '-I 4 2'
_cell_length_a 5.2421
_cell_length_b 5.2421
_cell_length_c 10.9340
_cell_angle_alpha 90.00
_cell_angle_beta 90.00
_cell_angle_gamma 90.00
loop_
_atom_site_label
_atom_site_type_symbol
_atom_site_fract_x
_atom_site_fract_y
_atom_site_fract_z
Rb1 Rb 0.0000 0.0000 0.0000
Bi1 Bi 0.0000 0.0000 0.3412
P1 P 0.0000 0.5000 0.2500
```

***

First-principles (SCAN) data for a PBEsol-optimized structure of Ce2Al9Ir3, as listed in the Alexandria database.

- total DFT energy (no corrections) (eV/atom) = -27.5580
- V (A^3/atom) = 16.6

Geometry as CIF:
```
data_Ce2Al9Ir3
_symmetry_space_group_name_H-M 'C m c m'
_symmetry_Int_Tables_number 63
_symmetry_space_group_name_Hall '-C 2c 2'
_cell_length_a 13.0744
_cell_length_b 7.6122
_cell_length_c 9.3614
_cell_angle_alpha 90.00
_cell_angle_beta 90.00
_cell_angle_gamma 90.00
loop_
_atom_site_label
_atom_site_type_symbol
_atom_site_fract_x
_atom_site_fract_y
_atom_site_fract_z
Ce1 Ce 0.1627 0.1662 0.2500
Al1 Al 0.0000 0.1289 0.7500
Al2 Al 0.0000 0.3340 0.0511
Al3 Al 0.1038 0.4460 0.7500
Al4 Al 0.1667 0.1688 0.5753
Ir1 Ir 0.0000 0.0000 0.0000
Ir2 Ir 0.1721 0.5000 0.0000
```

***

First-principles (SCAN) data for a PBEsol-optimized structure of TcHg2Cl, as listed in the Alexandria database.

- total DFT energy (no corrections) (eV/atom) = -44.4594
- V (A^3/atom) = 19.1
- formation energy from raw total energies (eV per atom) = 0.3830
- E above lowest polymorph (eV/atom) = 0.201

Geometry as CIF:
```
data_TcHg2Cl
_symmetry_space_group_name_H-M 'C m m m'
_symmetry_Int_Tables_number 65
_symmetry_space_group_name_Hall '-C 2 2'
_cell_length_a 3.2705
_cell_length_b 5.2708
_cell_length_c 8.8658
_cell_angle_alpha 90.00
_cell_angle_beta 90.00
_cell_angle_gamma 90.00
loop_
_atom_site_label
_atom_site_type_symbol
_atom_site_fract_x
_atom_site_fract_y
_atom_site_fract_z
Tc1 Tc 0.0000 0.0000 0.0000
Hg1 Hg 0.0000 0.5000 0.2459
Cl1 Cl 0.0000 0.0000 0.5000
```

***

First-principles (SCAN) data for a PBEsol-optimized structure of YMgMn2, as listed in the Alexandria database.

- total DFT energy (no corrections) (eV/atom) = -17.3331
- V (A^3/atom) = 18.9

Geometry as CIF:
```
data_YMgMn2
_symmetry_space_group_name_H-M 'F -4 3 m'
_symmetry_Int_Tables_number 216
_symmetry_space_group_name_Hall 'F -4 2 3'
_cell_length_a 6.7176
_cell_length_b 6.7176
_cell_length_c 6.7176
_cell_angle_alpha 90.00
_cell_angle_beta 90.00
_cell_angle_gamma 90.00
loop_
_atom_site_label
_atom_site_type_symbol
_atom_site_fract_x
_atom_site_fract_y
_atom_site_fract_z
Y1 Y 0.0000 0.0000 0.0000
Mg1 Mg 0.2500 0.2500 0.2500
Mn1 Mn 0.0000 0.0000 0.5000
Mn2 Mn 0.2500 0.2500 0.7500
```

***

First-principles (SCAN) data for a PBEsol-optimized structure of ScInSb2Te, as listed in the Alexandria database.

- total DFT energy (no corrections) (eV/atom) = -31.8660
- V (A^3/atom) = 32.2
- formation energy from raw total energies (eV per atom) = 0.0132

Geometry as CIF:
```
data_ScInSb2Te
_symmetry_space_group_name_H-M 'P 4/m m m'
_symmetry_Int_Tables_number 123
_symmetry_space_group_name_Hall '-P 4 2'
_cell_length_a 5.4349
_cell_length_b 5.4349
_cell_length_c 5.4430
_cell_angle_alpha 90.00
_cell_angle_beta 90.00
_cell_angle_gamma 90.00
loop_
_atom_site_label
_atom_site_type_symbol
_atom_site_fract_x
_atom_site_fract_y
_atom_site_fract_z
Sc1 Sc 0.0000 0.0000 0.0000
In1 In 0.5000 0.5000 0.5000
Sb1 Sb 0.0000 0.5000 0.0000
Te1 Te 0.0000 0.0000 0.5000
```

***

First-principles (SCAN) data for a PBEsol-optimized structure of KLi2Hg2, as listed in the Alexandria database.

- total DFT energy (no corrections) (eV/atom) = -30.2100
- V (A^3/atom) = 22.6
- E above lowest polymorph (eV/atom) = 0.000

Geometry as CIF:
```
data_KLi2Hg2
_symmetry_space_group_name_H-M 'P 4/m b m'
_symmetry_Int_Tables_number 127
_symmetry_space_group_name_Hall '-P 4 2ab'
_cell_length_a 8.3984
_cell_length_b 8.3984
_cell_length_c 3.2012
_cell_angle_alpha 90.00
_cell_angle_beta 90.00
_cell_angle_gamma 90.00
loop_
_atom_site_label
_atom_site_type_symbol
_atom_site_fract_x
_atom_site_fract_y
_atom_site_fract_z
K1 K 0.0000 0.0000 0.0000
Li1 Li 0.1246 0.3754 0.0000
Hg1 Hg 0.1634 0.6634 0.5000
```